## BaIn2Os (SCAN)

Data for a crystal of BaIn2Os relaxed with PBEsol.

The value obtained for the formation enthalpy at 0 K is 0.8071 eV/atom. The spin magnetization is 0.308 μB/atom.

Structure (POSCAR):
```
BaIn2Os
1.0
2.993 -0.086 0.000
-1.301 5.953 0.000
-0.846 -2.933 5.336
In Os Ba
2 1 1
Direct
0.500 0.500 0.500
0.000 0.000 0.500
0.500 0.000 0.000
0.000 0.500 0.000
```


## Al2SiNi (SCAN)

Data for a crystal of Al2SiNi relaxed with PBEsol.

For the energy above the most stable polymorph in this dataset, the calculation gives 2 meV/atom. The calculation puts the formation energy without anion corrections at -0.332 eV per atom. The spin magnetization is 0.000 μB/atom.

Structure (POSCAR):
```
Al2SiNi
1.0
-2.538 4.106 -0.639
-2.385 -0.598 5.636
5.624 3.911 2.795
Al Ni Si
8 4 4
Direct
0.666 0.163 0.552
0.834 0.663 0.948
0.166 0.337 0.052
0.334 0.837 0.448
0.666 0.163 0.948
0.334 0.837 0.052
0.834 0.663 0.552
0.166 0.337 0.448
0.969 0.354 0.750
0.531 0.854 0.750
0.469 0.146 0.250
0.031 0.646 0.250
0.928 0.023 0.250
0.072 0.977 0.750
0.428 0.477 0.750
0.572 0.523 0.250
```


## LiH4SNO4 (SCAN)

Data for a crystal of LiH4SNO4 relaxed with PBEsol.

For the energy above the most stable polymorph in this dataset, the calculation gives 1 meV/atom. The spin magnetization is 0.000 μB/atom.

Structure (POSCAR):
```
LiH4SNO4
1.0
5.370 0.000 0.000
0.000 9.063 0.051
0.000 0.061 17.014
H N O Li S
32 8 32 8 8
Direct
0.169 0.861 0.035
0.831 0.139 0.965
0.878 0.335 0.804
0.800 0.176 0.757
0.194 0.657 0.293
0.378 0.665 0.696
0.122 0.665 0.196
0.806 0.343 0.707
0.357 0.716 0.007
0.918 0.305 0.278
0.637 0.126 0.046
0.306 0.657 0.793
0.082 0.695 0.722
0.200 0.824 0.243
0.137 0.874 0.454
0.300 0.824 0.743
0.857 0.284 0.493
0.895 0.230 0.050
0.700 0.176 0.257
0.643 0.284 0.993
0.331 0.861 0.535
0.363 0.874 0.954
0.694 0.343 0.207
0.395 0.770 0.450
0.863 0.126 0.546
0.669 0.139 0.465
0.582 0.305 0.778
0.143 0.716 0.507
0.105 0.770 0.950
0.605 0.230 0.550
0.622 0.335 0.304
0.418 0.695 0.222
0.268 0.711 0.740
0.753 0.197 0.013
0.732 0.289 0.260
0.768 0.289 0.760
0.232 0.711 0.240
0.253 0.803 0.487
0.747 0.197 0.513
0.247 0.803 0.987
0.151 0.218 0.127
0.980 0.450 0.888
0.185 0.368 0.475
0.815 0.632 0.525
0.896 0.446 0.625
0.520 0.450 0.388
0.396 0.554 0.875
0.029 0.963 0.108
0.034 0.026 0.612
0.218 0.035 0.230
0.686 0.698 0.163
0.534 0.974 0.888
0.480 0.550 0.612
0.314 0.302 0.837
0.349 0.218 0.627
0.529 0.037 0.392
0.186 0.302 0.337
0.104 0.554 0.375
0.651 0.782 0.373
0.604 0.446 0.125
0.466 0.026 0.112
0.685 0.632 0.025
0.782 0.965 0.770
0.282 0.035 0.730
0.966 0.974 0.388
0.020 0.550 0.112
0.814 0.698 0.663
0.849 0.782 0.873
0.718 0.965 0.270
0.971 0.037 0.892
0.471 0.963 0.608
0.315 0.368 0.975
0.725 0.908 0.162
0.269 0.404 0.086
0.775 0.908 0.662
0.231 0.404 0.586
0.275 0.092 0.838
0.731 0.596 0.914
0.769 0.596 0.414
0.225 0.092 0.338
0.717 0.937 0.355
0.251 0.419 0.895
0.283 0.063 0.645
0.217 0.063 0.145
0.249 0.419 0.395
0.751 0.581 0.605
0.783 0.937 0.855
0.749 0.581 0.105
```


## CoW2Cl10 (SCAN)

Data for a crystal of CoW2Cl10 relaxed with PBEsol.

The calculation puts the formation energy without anion corrections at -0.906 eV per atom. The spin magnetization is 0.229 μB/atom.

Structure (POSCAR):
```
CoW2Cl10
1.0
6.043 0.000 -0.037
3.021 8.202 -0.019
2.128 0.000 11.945
Cl W Co
20 4 2
Direct
0.480 0.295 0.886
0.268 0.681 0.862
0.410 0.915 0.641
0.090 0.517 0.144
0.520 0.705 0.114
0.051 0.681 0.638
0.806 0.101 0.643
0.326 0.085 0.141
0.732 0.319 0.138
0.590 0.085 0.359
0.225 0.295 0.614
0.194 0.899 0.357
0.907 0.899 0.143
0.775 0.705 0.386
0.910 0.483 0.856
0.393 0.517 0.356
0.949 0.319 0.362
0.607 0.483 0.644
0.093 0.101 0.857
0.674 0.915 0.859
0.434 0.131 0.750
0.566 0.869 0.250
0.270 0.459 0.750
0.730 0.541 0.250
0.944 0.113 0.250
0.056 0.887 0.750
```